Material: Ca3AlI
Method: DFT, PBE
State: optimized geometry

a = 5.912 Å, b = 5.912 Å, c = 5.912 Å
α = 90.00°, β = 90.00°, γ = 90.00°
Element x y z (fractional)
I (0.500, 0.500, 0.500)
Ca (0.000, 0.500, 0.000)
Ca (0.000, 0.000, 0.500)
Ca (0.500, 0.000, 0.000)
Al (0.000, 0.000, 0.000)

**Total magnetic moment**: 0.0 μB/cell
**E_form (uncorrected)**: -277.4 meV/atom
**Energy above the most stable polymorph in this dataset**: 0 meV per atom
**N(E_F)**: 0.66 states/eV per cell

=====

Material: AcPaCoN3
Method: DFT, PBE
State: optimized geometry

a = 3.531 Å, b = 7.501 Å, c = 7.480 Å
α = 104.55°, β = 90.00°, γ = 90.00°
Site moments in Bohr magnetons follow the coordinates.
Element x y z (fractional)
Ac (0.250, 0.188, 0.226)  0.00
Ac (0.750, 0.812, 0.774)  0.00
Pa (0.250, 0.670, 0.176)  0.06
Pa (0.750, 0.330, 0.824)  0.06
Co (0.250, 0.083, 0.583)  1.25
Co (0.750, 0.917, 0.417)  1.25
N (0.750, 0.865, 0.137)  0.03
N (0.250, 0.135, 0.863)  0.03
N (0.250, 0.813, 0.500)  0.08
N (0.750, 0.187, 0.500)  0.08
N (0.750, 0.450, 0.140)  0.00
N (0.250, 0.550, 0.860)  0.00

**Total magnetic moment**: 2.9 μB/cell
**E_form (uncorrected)**: -1040.8 meV/atom
**N(E_F)**: 4.75 states/eV per cell

=====

Material: La2AlCr
Method: DFT, PBE
State: optimized geometry

a = 5.750 Å, b = 5.750 Å, c = 5.750 Å
α = 132.18°, β = 132.18°, γ = 69.95°
Site moments in Bohr magnetons follow the coordinates.
Element x y z (fractional)
Cr (0.750, 0.250, 0.500)  3.48
Al (0.500, 0.500, 0.000)  -0.04
La (0.000, 0.000, 0.000)  -0.15
La (0.250, 0.750, 0.500)  -0.21

**Total magnetic moment**: 3.1 μB/cell
**Calculated formation energy**: 137.9 meV/atom
**N(E_F)**: 4.37 states/eV per cell

=====

Material: Mo3OsCl
Method: DFT, PBE
State: optimized geometry

a = 4.347 Å, b = 4.347 Å, c = 4.347 Å
α = 90.00°, β = 90.00°, γ = 90.00°
Element x y z (fractional)
Mo (0.000, 0.500, 0.000)
Mo (0.000, 0.000, 0.500)
Mo (0.500, 0.000, 0.000)
Os (0.500, 0.500, 0.500)
Cl (0.000, 0.000, 0.000)

**Total magnetic moment**: 0.0 μB/cell
**E_form (uncorrected)**: 1263.1 meV/atom
**Energy above the most stable polymorph in this dataset**: 0 meV per atom
**N(E_F)**: 5.96 states/eV per cell

=====

Material: CoWAu
Method: DFT, PBE
State: optimized geometry

a = 2.784 Å, b = 2.784 Å, c = 6.743 Å
α = 90.00°, β = 90.00°, γ = 120.00°
Site moments in Bohr magnetons follow the coordinates.
Element x y z (fractional)
Au (0.000, 0.000, 0.012)  -0.02
Co (0.667, 0.333, 0.349)  0.53
W (0.333, 0.667, 0.639)  -0.10

**Total magnetic moment**: 0.4 μB/cell
**Calculated formation energy**: 327.0 meV/atom
**Energy above the most stable polymorph in this dataset**: 100 meV per atom
**N(E_F)**: 2.17 states/eV per cell

=====

Material: K2In6Ga3
Method: DFT, PBE
State: optimized geometry

a = 4.922 Å, b = 8.586 Å, c = 8.586 Å
α = 120.00°, β = 90.00°, γ = 90.00°
Element x y z (fractional)
K (0.000, 0.667, 0.333)
K (0.000, 0.333, 0.667)
In (0.500, 0.692, 0.692)
In (0.500, 0.000, 0.308)
In (0.000, 0.203, 0.203)
In (0.000, 0.797, 0.000)
In (0.500, 0.308, 0.000)
In (0.000, 0.000, 0.797)
Ga (0.500, 0.360, 0.360)
Ga (0.500, 0.640, 0.000)
Ga (0.500, 0.000, 0.640)

**Total magnetic moment**: 0.0 μB/cell
**Calculated formation energy**: -111.2 meV/atom
**N(E_F)**: 2.73 states/eV per cell

=====

Material: La2SmMg2Sn2
Method: DFT, PBE
State: optimized geometry

a = 5.022 Å, b = 5.022 Å, c = 9.623 Å
α = 74.87°, β = 74.87°, γ = 60.00°
Element x y z (fractional)
La (0.131, 0.131, 0.608)
La (0.869, 0.869, 0.392)
Sm (0.000, 0.000, 0.000)
Mg (0.600, 0.600, 0.200)
Mg (0.400, 0.400, 0.800)
Sn (0.733, 0.733, 0.801)
Sn (0.267, 0.267, 0.199)

**Total magnetic moment**: 0.0 μB/cell
**Calculated formation energy**: -397.0 meV/atom
**N(E_F)**: 6.02 states/eV per cell

=====

Material: Sr2AcInSe4
Method: DFT, PBE
State: optimized geometry

a = 4.515 Å, b = 7.715 Å, c = 7.856 Å
α = 71.27°, β = 90.00°, γ = 90.00°
Element x y z (fractional)
Sr (0.000, 0.000, 0.000)
Sr (0.500, 0.000, 0.500)
Ac (0.000, 0.500, 0.500)
In (0.500, 0.500, 0.000)
Se (0.000, 0.758, 0.733)
Se (0.000, 0.242, 0.267)
Se (0.500, 0.750, 0.259)
Se (0.500, 0.250, 0.741)

**Total magnetic moment**: 0.0 μB/cell
**E_form (uncorrected)**: -1669.0 meV/atom

=====

Material: MgOs2Pt
Method: DFT, PBE
State: optimized geometry

a = 2.811 Å, b = 2.811 Å, c = 7.760 Å
α = 90.00°, β = 90.00°, γ = 90.00°
Element x y z (fractional)
Mg (0.500, 0.500, 0.750)
Os (0.000, 0.000, 0.020)
Os (0.500, 0.500, 0.235)
Pt (0.000, 0.000, 0.495)

**Total magnetic moment**: 0.0 μB/cell
**Calculated formation energy**: -104.5 meV/atom
**N(E_F)**: 2.81 states/eV per cell

=====

Material: SrHo2C
Method: DFT, PBE
State: optimized geometry

a = 3.624 Å, b = 3.624 Å, c = 10.139 Å
α = 79.70°, β = 79.70°, γ = 60.00°
Element x y z (fractional)
Sr (0.000, 0.000, 0.000)
C (0.500, 0.500, 0.500)
Ho (0.122, 0.122, 0.633)
Ho (0.878, 0.878, 0.367)

**Total magnetic moment**: 0.0 μB/cell
**Calculated formation energy**: -68.1 meV/atom
**N(E_F)**: 3.38 states/eV per cell

=====

Material: NiHg2N2
Method: DFT, PBE
State: optimized geometry

a = 5.614 Å, b = 5.614 Å, c = 4.632 Å
α = 90.00°, β = 90.00°, γ = 90.00°
Site moments in Bohr magnetons follow the coordinates.
Element x y z (fractional)
Ni (0.000, 0.000, 0.000)  0.27
Ni (0.500, 0.500, 0.000)  0.26
Hg (0.181, 0.681, 0.500)  0.00
Hg (0.681, 0.819, 0.500)  0.00
Hg (0.819, 0.319, 0.500)  0.00
Hg (0.319, 0.181, 0.500)  0.00
N (0.224, 0.724, 0.000)  0.43
N (0.724, 0.776, 0.000)  0.46
N (0.776, 0.276, 0.000)  0.43
N (0.276, 0.224, 0.000)  0.46

**Total magnetic moment**: 2.9 μB/cell
**E_form (uncorrected)**: 1127.4 meV/atom
**Energy above the most stable polymorph in this dataset**: 689 meV per atom
**N(E_F)**: 4.26 states/eV per cell

=====

Material: Ca3InNi3
Method: DFT, PBE
State: optimized geometry

a = 4.248 Å, b = 5.686 Å, c = 13.472 Å
α = 90.00°, β = 90.00°, γ = 111.93°
Element x y z (fractional)
Ca (0.212, 0.425, 0.893)
Ca (0.788, 0.575, 0.107)
Ca (0.212, 0.425, 0.607)
Ca (0.788, 0.575, 0.393)
Ca (0.497, 0.993, 0.750)
Ca (0.503, 0.007, 0.250)
In (0.500, 0.000, 0.000)
In (0.500, 0.000, 0.500)
Ni (0.918, 0.837, 0.904)
Ni (0.082, 0.163, 0.096)
Ni (0.918, 0.837, 0.596)
Ni (0.082, 0.163, 0.404)
Ni (0.808, 0.616, 0.750)
Ni (0.192, 0.384, 0.250)

**Total magnetic moment**: 0.0 μB/cell
**Calculated formation energy**: -239.8 meV/atom
**N(E_F)**: 8.08 states/eV per cell

=====

Material: ZrRe2Ru
Method: DFT, PBE
State: optimized geometry

a = 3.170 Å, b = 3.170 Å, c = 6.512 Å
α = 90.00°, β = 90.00°, γ = 90.00°
Element x y z (fractional)
Re (0.000, 0.000, 0.020)
Re (0.500, 0.500, 0.237)
Ru (0.000, 0.000, 0.501)
Zr (0.500, 0.500, 0.742)

**Total magnetic moment**: 0.0 μB/cell
**Calculated formation energy**: 7.8 meV/atom
**Energy above the most stable polymorph in this dataset**: 37 meV per atom
**N(E_F)**: 4.91 states/eV per cell

=====

Material: TbNpAgO6
Method: DFT, PBE
State: optimized geometry

a = 5.541 Å, b = 5.541 Å, c = 9.983 Å
α = 90.00°, β = 90.00°, γ = 120.00°
Site moments in Bohr magnetons follow the coordinates.
Element x y z (fractional)
Tb (0.000, 0.000, 0.000)  0.01
Tb (0.000, 0.000, 0.500)  0.01
Np (0.667, 0.333, 0.250)  -0.09
Np (0.333, 0.667, 0.750)  -0.09
Ag (0.333, 0.667, 0.250)  0.35
Ag (0.667, 0.333, 0.750)  0.35
O (0.682, 0.640, 0.133)  0.11
O (0.958, 0.318, 0.133)  0.11
O (0.318, 0.958, 0.633)  0.11
O (0.042, 0.682, 0.867)  0.11
O (0.360, 0.318, 0.367)  0.11
O (0.958, 0.640, 0.367)  0.11
O (0.640, 0.958, 0.867)  0.11
O (0.682, 0.042, 0.367)  0.11
O (0.042, 0.360, 0.633)  0.11
O (0.360, 0.042, 0.133)  0.11
O (0.640, 0.682, 0.633)  0.11
O (0.318, 0.360, 0.867)  0.11

**Total magnetic moment**: 2.1 μB/cell
**E_form (uncorrected)**: -2202.7 meV/atom
**N(E_F)**: 12.28 states/eV per cell

=====

Material: MgReO4
Method: DFT, PBE
State: optimized geometry

a = 4.696 Å, b = 5.619 Å, c = 5.615 Å
α = 113.92°, β = 90.00°, γ = 90.00°
Element x y z (fractional)
Mg (0.000, 0.500, 0.500)
Mg (0.500, 0.000, 0.500)
Re (0.500, 0.500, 0.000)
Re (0.000, 0.000, 0.000)
O (0.280, 0.825, 0.138)
O (0.220, 0.325, 0.138)
O (0.686, 0.627, 0.318)
O (0.186, 0.873, 0.682)
O (0.814, 0.127, 0.318)
O (0.314, 0.373, 0.682)
O (0.780, 0.675, 0.862)
O (0.720, 0.175, 0.862)

**Total magnetic moment**: 0.0 μB/cell
**E_form (uncorrected)**: -1927.0 meV/atom
**Energy above the most stable polymorph in this dataset**: 0 meV per atom
**N(E_F)**: 4.74 states/eV per cell

=====

Material: YWAu2
Method: DFT, PBE
State: optimized geometry

a = 3.411 Å, b = 3.653 Å, c = 6.379 Å
α = 90.00°, β = 90.00°, γ = 90.00°
Element x y z (fractional)
Au (0.000, 0.000, 0.016)
Au (0.500, 0.500, 0.264)
W (0.000, 0.000, 0.461)
Y (0.500, 0.500, 0.759)

**Total magnetic moment**: 0.0 μB/cell
**Calculated formation energy**: 83.1 meV/atom
**Energy above the most stable polymorph in this dataset**: 18 meV per atom
**N(E_F)**: 3.42 states/eV per cell

=====

Material: InTePt2
Method: DFT, PBE
State: optimized geometry

a = 4.826 Å, b = 4.826 Å, c = 4.826 Å
α = 60.00°, β = 60.00°, γ = 60.00°
Element x y z (fractional)
In (0.500, 0.500, 0.500)
Pt (0.000, 0.000, 0.000)
Pt (0.250, 0.250, 0.250)
Te (0.750, 0.750, 0.750)

**Total magnetic moment**: 0.0 μB/cell
**E_form (uncorrected)**: 183.8 meV/atom
**Energy above the most stable polymorph in this dataset**: 471 meV per atom
**N(E_F)**: 3.91 states/eV per cell

=====

Material: Cd2TeRh
Method: DFT, PBE
State: optimized geometry

a = 5.235 Å, b = 3.348 Å, c = 4.810 Å
α = 89.93°, β = 90.00°, γ = 90.00°
Element x y z (fractional)
Cd (0.000, 0.240, 0.763)
Cd (0.000, 0.760, 0.237)
Te (0.500, 0.500, 0.500)
Rh (0.500, 0.000, 0.000)

**Total magnetic moment**: 0.0 μB/cell
**E_form (uncorrected)**: 93.0 meV/atom
**N(E_F)**: 2.61 states/eV per cell

=====

Material: Fe2Co4Ni5
Method: DFT, PBE
State: optimized geometry

a = 4.980 Å, b = 4.980 Å, c = 6.215 Å
α = 79.69°, β = 79.69°, γ = 58.00°
Site moments in Bohr magnetons follow the coordinates.
Element x y z (fractional)
Fe (0.177, 0.177, 0.811)  2.76
Fe (0.823, 0.823, 0.189)  2.76
Co (0.369, 0.369, 0.492)  1.82
Co (0.631, 0.631, 0.508)  1.82
Co (0.706, 0.706, 0.836)  1.70
Co (0.294, 0.294, 0.164)  1.70
Ni (0.680, 0.198, 0.838)  0.71
Ni (0.320, 0.802, 0.162)  0.71
Ni (0.000, 0.000, 0.500)  0.71
Ni (0.198, 0.680, 0.838)  0.71
Ni (0.802, 0.320, 0.162)  0.71

**Total magnetic moment**: 15.8 μB/cell
**Calculated formation energy**: 143.8 meV/atom
**N(E_F)**: 8.85 states/eV per cell

=====

Material: HgIrO2F
Method: DFT, PBE
State: optimized geometry

a = 3.696 Å, b = 3.696 Å, c = 6.861 Å
α = 90.00°, β = 90.00°, γ = 90.00°
Element x y z (fractional)
Ir (0.000, 0.000, 0.000)
Hg (0.500, 0.500, 0.500)
O (0.000, 0.500, 0.000)
O (0.500, 0.000, 0.000)
F (0.000, 0.000, 0.500)

**Total magnetic moment**: 0.0 μB/cell
**E_form (uncorrected)**: -552.4 meV/atom
**N(E_F)**: 4.46 states/eV per cell